Record 1
Below is a PBEsol-optimized structure of K2OsSe, with properties calculated at the SCAN level.

Summary:
Total moment (μB per formula unit): 0.7
Uncorrected formation energy (eV/atom): 0.70

Unit cell a=2.9620 b=2.9620 c=11.0070 alpha=82.27 beta=82.27 gamma=60.00
Last column: nearest neighbours and their distance in Å.
Sites, in units of the cell vectors:
Se 0.0000 0.0000 0.0000  6 Se 2.96, 6 K 3.19
K 0.2508 0.2508 0.2476  6 K 2.96, 3 Se 3.19, 3 Os 3.23
K 0.7492 0.7492 0.7524  6 K 2.96, 3 Se 3.19, 3 Os 3.23
Os 0.5000 0.5000 0.5000  6 Os 2.96, 6 K 3.23



Record 2
Below is a PBEsol-optimized structure of CaSiC3, with properties calculated at the SCAN level.

Summary:
Offset from the most stable computed form (meV per atom): 0
Total moment (μB per formula unit): 0.0
Uncorrected formation energy (eV/atom): 1.22

Unit cell a=3.8101 b=3.8101 c=3.8101 alpha=90.00 beta=90.00 gamma=90.00
Last column: nearest neighbours and their distance in Å.
Sites, in units of the cell vectors:
C 0.0000 0.5000 0.0000  2 Si 1.91
C 0.5000 0.0000 0.0000  2 Si 1.91
Si 0.0000 0.0000 0.0000  6 C 1.91
C 0.0000 0.0000 0.5000  2 Si 1.91
Ca 0.5000 0.5000 0.5000  12 C 2.69



Record 3
Below is a PBEsol-optimized structure of YCo2Si, with properties calculated at the SCAN level.

Summary:
Total moment (μB per formula unit): 0.0
Uncorrected formation energy (eV/atom): -0.39

Unit cell a=3.9267 b=3.9267 c=5.1700 alpha=67.71 beta=67.71 gamma=59.98
Last column: nearest neighbours and their distance in Å.
Sites, in units of the cell vectors:
Y 0.5000 0.5000 0.0000  8 Co 2.71-2.98
Co 0.3057 0.3057 0.5829  3 Si 2.30, 3 Co 2.39-2.40
Co 0.6943 0.6943 0.4171  3 Si 2.30, 3 Co 2.39-2.40
Si 0.0000 0.0000 0.5000  6 Co 2.30



Record 4
Below is a PBEsol-optimized structure of Ag2HgIr, with properties calculated at the SCAN level.

Summary:
Total moment (μB per formula unit): 0.0
Energy of formation from the pure elements (eV per formula unit): 1.8

Unit cell a=2.9785 b=4.7409 c=5.4862 alpha=115.60 beta=105.75 gamma=90.00
Last column: nearest neighbours and their distance in Å.
Sites, in units of the cell vectors:
Ag 0.9977 0.9977 0.9954  2 Ir 2.77, 4 Ag 2.80-2.98, 4 Hg 2.80
Hg 0.5031 0.5031 0.0063  2 Ir 2.77, 6 Ag 2.80-2.82, 2 Hg 2.98
Ag 0.7488 0.2488 0.4976  4 Ag 2.80-2.98, 4 Ir 2.80, 2 Hg 2.82
Ir 0.2503 0.7503 0.5007  2 Hg 2.77, 6 Ag 2.77-2.80, 2 Ir 2.98